[1]
ThAlRe: relaxed, PBE.

Unit cell a=5.5174 b=5.5174 c=5.5174 alpha=120.63 beta=117.20 gamma=91.92
Last column: nearest neighbours and their distance in Å.
Element x y z (fractional)
Th: 0.3679 0.1179 0.2500  6 Re 3.14-3.34, 6 Al 3.22-3.26, 4 Th 3.40
Th: 0.6321 0.8821 0.7500  6 Re 3.14-3.34, 6 Al 3.22-3.26, 4 Th 3.40
Al: 0.0000 0.5000 0.5000  4 Re 2.76, 2 Al 2.87
Al: 0.5000 0.5000 0.0000  4 Re 2.76, 2 Al 2.87
Re: 0.0000 0.0000 0.5000  2 Re 2.73, 4 Al 2.76
Re: 0.0000 0.5000 0.0000  2 Re 2.73, 4 Al 2.76

Summary:
E_tot	-0.5997	Ry per atom
symmetry	No. 74
D(E_F)	4.496	states/eV/cell

[2]
ThAl10Re2: relaxed, PBE.

Unit cell a=6.9347 b=6.9347 c=9.2710 alpha=90.00 beta=90.00 gamma=96.96
Last column: nearest neighbours and their distance in Å.
Element x y z (fractional)
Th: 0.1297 0.8703 0.7500  14 Al 3.20-3.39, 4 Re 3.50
Th: 0.8703 0.1297 0.2500  14 Al 3.20-3.39, 4 Re 3.50
Al: 0.1407 0.4048 0.7500  2 Re 2.63, 8 Al 2.69-2.88
Al: 0.1574 0.8426 0.1006  8 Al 2.64-2.95, 2 Re 2.66
Al: 0.1574 0.8426 0.3994  8 Al 2.64-2.95, 2 Re 2.66
Al: 0.2161 0.4791 0.2500  7 Al 2.69-2.95, 2 Re 2.77
Al: 0.2266 0.2266 0.0000  2 Re 2.61, 8 Al 2.73-2.91
Al: 0.2266 0.2266 0.5000  2 Re 2.61, 8 Al 2.73-2.91
Al: 0.3778 0.6222 0.5422  6 Al 2.64-2.84, 2 Re 2.68
Al: 0.3778 0.6222 0.9578  6 Al 2.64-2.84, 2 Re 2.68
Al: 0.4048 0.1407 0.2500  2 Re 2.63, 8 Al 2.69-2.88
Al: 0.4791 0.2161 0.7500  7 Al 2.69-2.95, 2 Re 2.77
Al: 0.5209 0.7839 0.2500  7 Al 2.69-2.95, 2 Re 2.77
Al: 0.5952 0.8593 0.7500  2 Re 2.63, 8 Al 2.69-2.88
Al: 0.6222 0.3778 0.0422  6 Al 2.64-2.84, 2 Re 2.68
Al: 0.6222 0.3778 0.4578  6 Al 2.64-2.84, 2 Re 2.68
Al: 0.7734 0.7734 0.0000  2 Re 2.61, 8 Al 2.73-2.91
Al: 0.7734 0.7734 0.5000  2 Re 2.61, 8 Al 2.73-2.91
Al: 0.7839 0.5209 0.7500  7 Al 2.69-2.95, 2 Re 2.77
Al: 0.8426 0.1574 0.6006  8 Al 2.64-2.95, 2 Re 2.66
Al: 0.8426 0.1574 0.8994  8 Al 2.64-2.95, 2 Re 2.66
Al: 0.8593 0.5952 0.2500  2 Re 2.63, 8 Al 2.69-2.88
Re: 0.0000 0.5000 0.0000  10 Al 2.61-2.77
Re: 0.0000 0.5000 0.5000  10 Al 2.61-2.77
Re: 0.5000 0.0000 0.0000  10 Al 2.61-2.77
Re: 0.5000 0.0000 0.5000  10 Al 2.61-2.77

Summary:
E_tot	-0.4204	Ry per atom
symmetry	No. 63
D(E_F)	11.748	states/eV/cell

[3]
Th3Al7Re2: relaxed, PBE.

Unit cell a=9.5742 b=9.5742 c=9.5742 alpha=33.56 beta=33.56 gamma=33.56
Last column: nearest neighbours and their distance in Å.
Element x y z (fractional)
Th: 0.0000 0.0000 0.0000  6 Re 3.19, 12 Al 3.47
Th: 0.1505 0.1505 0.1505  12 Al 3.22-3.40, 3 Th 3.31
Th: 0.8495 0.8495 0.8495  12 Al 3.22-3.40, 3 Th 3.31
Al: 0.0712 0.5802 0.5802  2 Re 2.61-2.65, 5 Al 2.71-2.92
Al: 0.4198 0.4198 0.9288  2 Re 2.61-2.65, 5 Al 2.71-2.92
Al: 0.4198 0.9288 0.4198  2 Re 2.61-2.65, 5 Al 2.71-2.92
Al: 0.5000 0.5000 0.5000  6 Al 2.92, 6 Th 3.22
Al: 0.5802 0.0712 0.5802  2 Re 2.61-2.65, 5 Al 2.71-2.92
Al: 0.5802 0.5802 0.0712  2 Re 2.61-2.65, 5 Al 2.71-2.92
Al: 0.9288 0.4198 0.4198  2 Re 2.61-2.65, 5 Al 2.71-2.92
Re: 0.3352 0.3352 0.3352  6 Al 2.61-2.65
Re: 0.6648 0.6648 0.6648  6 Al 2.61-2.65

Summary:
E_tot	-0.4715	Ry per atom
symmetry	No. 166
D(E_F)	8.634	states/eV/cell

[4]
Th2AlRe2: relaxed, PBE.

Unit cell a=5.7924 b=5.7924 c=5.7924 alpha=135.51 beta=121.38 gamma=76.47
Last column: nearest neighbours and their distance in Å.
Element x y z (fractional)
Th: 0.2033 0.2033 0.0000  6 Re 3.13, 4 Al 3.39-3.48
Th: 0.7967 0.7967 0.0000  6 Re 3.13, 4 Al 3.39-3.48
Al: 0.5000 0.0000 0.5000  4 Re 2.70
Re: 0.2213 0.5000 0.7213  1 Re 2.51, 2 Al 2.70
Re: 0.7787 0.5000 0.2787  1 Re 2.51, 2 Al 2.70

Summary:
E_tot	-0.6493	Ry per atom
symmetry	No. 71
D(E_F)	4.295	states/eV/cell

[5]
Th2Al3Re: relaxed, PBE.

Unit cell a=5.5702 b=5.5702 c=5.5944 alpha=119.77 beta=119.77 gamma=60.06
Last column: nearest neighbours and their distance in Å.
Element x y z (fractional)
Th: 0.1291 0.1291 0.3886  9 Al 3.23-3.31, 3 Re 3.26, 4 Th 3.36-3.56
Th: 0.8709 0.8709 0.6114  9 Al 3.23-3.31, 3 Re 3.26, 4 Th 3.36-3.56
Al: 0.0000 0.5000 0.0000  4 Al 2.79, 2 Re 2.80
Al: 0.5000 0.0000 0.0000  4 Al 2.79, 2 Re 2.80
Al: 0.5000 0.5000 0.0000  4 Al 2.79, 2 Re 2.80
Re: 0.5000 0.5000 0.5000  6 Al 2.80

Summary:
E_tot	-0.4967	Ry per atom
symmetry	No. 12
D(E_F)	4.509	states/eV/cell

[6]
ThAlRe: relaxed, PBE.

Unit cell a=4.4156 b=4.4156 c=3.8879 alpha=90.00 beta=90.00 gamma=120.00
Last column: nearest neighbours and their distance in Å.
Element x y z (fractional)
Th: 0.0000 0.0000 0.0000  6 Re 3.21, 6 Al 3.21
Al: 0.3333 0.6667 0.5000  3 Re 2.55
Re: 0.6667 0.3333 0.5000  3 Al 2.55

Summary:
E_tot	-0.5837	Ry per atom
symmetry	No. 187
D(E_F)	1.924	states/eV/cell